No. 1
Entry from the Alexandria database: NiPHPt2 after structural relaxation (PBEsol).

Calculated values
**V**: 12.51 Å³ per atom
**Uncorrected energy**: -5.41 eV/atom

Cell: 4.7122 4.7122 2.8169 Å, 90.00 90.00 90.00°
Space group P4/mmm (No. 123)
Asymmetric unit:
Ni1 0.0000 0.0000 0.0000 [1 per cell]
P1 0.5000 0.5000 0.5000 [1 per cell]
H1 0.0000 0.0000 0.5000 [1 per cell]
Pt1 0.0000 0.5000 0.0000 [2 per cell]

***

No. 2
Entry from the Alexandria database: TcPbW2 after structural relaxation (PBEsol).

Calculated values
**Formation energy from the elements**: 629 meV/atom
**V**: 17.46 Å³ per atom

Cell: 2.9927 4.0352 5.7838 Å, 90.00 90.00 90.00°
Space group Pmm2 (No. 25)
Asymmetric unit:
Tc1 0.0000 0.0000 0.0000 [1 per cell]
Pb1 0.5000 0.5000 0.7104 [1 per cell]
W1 0.0000 0.0000 0.4087 [1 per cell]
W2 0.5000 0.5000 0.2051 [1 per cell]

***

No. 3
Entry from the Alexandria database: SrCoRe3 after structural relaxation (PBEsol).

Calculated values
**Formation energy from the elements**: 4131 meV/atom
**V**: 19.98 Å³ per atom

Cell: 4.6403 4.6403 4.6403 Å, 90.00 90.00 90.00°
Space group Pm-3m (No. 221)
Asymmetric unit:
Sr1 0.0000 0.0000 0.0000 [1 per cell]
Co1 0.5000 0.5000 0.5000 [1 per cell]
Re1 0.0000 0.0000 0.5000 [3 per cell]

***

No. 4
Entry from the Alexandria database: InW3F after structural relaxation (PBEsol).

Calculated values
**V**: 23.35 Å³ per atom
**Formation energy (no corrections)**: 3.344 eV/atom

Cell: 4.8874 4.8874 4.8874 Å, 90.00 90.00 90.00°
Space group Pm-3m (No. 221)
Asymmetric unit:
In1 0.0000 0.0000 0.0000 [1 per cell]
W1 0.0000 0.0000 0.5000 [3 per cell]
F1 0.5000 0.5000 0.5000 [1 per cell]

***

No. 5
Entry from the Alexandria database: KCrO2 after structural relaxation (PBEsol).

Calculated values
**E above lowest polymorph**: 0.000 eV/atom
**V**: 11.84 Å³ per atom
**Formation energy (no corrections)**: -1.766 eV/atom

Cell: 3.0561 3.0561 17.5721 Å, 90.00 90.00 120.00°
Space group R-3m (No. 166, hexagonal axes)
Asymmetric unit:
K1 0.0000 0.0000 0.0000 [3 per cell]
Cr1 0.0000 0.0000 0.5000 [3 per cell]
O1 0.0000 0.0000 0.2230 [6 per cell]

***

No. 6
Entry from the Alexandria database: SrHf2H after structural relaxation (PBEsol).

Calculated values
**E above lowest polymorph**: 0.000 eV/atom
**V**: 22.68 Å³ per atom

Cell: 8.9866 8.9866 8.9866 Å, 90.00 90.00 90.00°
Space group Fd-3m (No. 227, origin choice 2)
Asymmetric unit:
Sr1 0.1250 0.1250 0.1250 [8 per cell]
Hf1 0.0000 0.0000 0.5000 [16 per cell]
H1 0.1250 0.1250 0.6250 [8 per cell]

***

No. 7
Entry from the Alexandria database: Cr4OF11 after structural relaxation (PBEsol).

Calculated values
**E above lowest polymorph**: 0.000 eV/atom
**V**: 11.29 Å³ per atom
**Formation energy (no corrections)**: -2.513 eV/atom

Cell: 9.1432 4.9108 8.4183 Å, 90.00 107.16 90.00°
Space group C2 (No. 5)
Asymmetric unit:
Cr1 0.1158 0.0000 0.3842 [4 per cell]
Cr2 0.1270 0.4954 0.8736 [4 per cell]
O1 0.0000 0.1255 0.5000 [2 per cell]
F1 0.0000 0.6276 0.0000 [2 per cell]
F2 0.9997 0.6773 0.3191 [4 per cell]
F3 0.0015 0.1783 0.8134 [4 per cell]
F4 0.2458 0.8708 0.2521 [4 per cell]
F5 0.2499 0.3096 0.4346 [4 per cell]
F6 0.2497 0.3135 0.0664 [4 per cell]

***

No. 8
Entry from the Alexandria database: AlZnCu2 after structural relaxation (PBEsol).

Calculated values
**Formation energy from the elements**: -151 meV/atom
**V**: 12.64 Å³ per atom

Cell: 9.3348 2.7494 4.3680 Å, 90.00 115.62 90.00°
Space group Cm (No. 8)
Asymmetric unit:
Al1 0.0000 0.0000 0.0000 [2 per cell]
Zn1 0.2621 0.5000 0.3927 [2 per cell]
Cu1 0.0097 0.5000 0.4987 [2 per cell]
Cu2 0.2506 0.0000 0.8882 [2 per cell]

***

No. 9
Entry from the Alexandria database: LaYF3 after structural relaxation (PBEsol).

Calculated values
**V**: 21.40 Å³ per atom
**Formation energy (no corrections)**: -2.421 eV/atom

Cell: 4.7476 4.7476 4.7476 Å, 90.00 90.00 90.00°
Space group Pm-3m (No. 221)
Asymmetric unit:
La1 0.0000 0.0000 0.0000 [1 per cell]
Y1 0.5000 0.5000 0.5000 [1 per cell]
F1 0.0000 0.0000 0.5000 [3 per cell]

***

No. 10
Entry from the Alexandria database: TiCo2BiOs after structural relaxation (PBEsol).

Calculated values
**Formation energy from the elements**: 1632 meV/atom
**V**: 17.29 Å³ per atom

Cell: 4.1420 4.1420 5.0388 Å, 90.00 90.00 90.00°
Space group P4/mmm (No. 123)
Asymmetric unit:
Ti1 0.0000 0.0000 0.0000 [1 per cell]
Co1 0.0000 0.5000 0.0000 [2 per cell]
Bi1 0.0000 0.0000 0.5000 [1 per cell]
Os1 0.5000 0.5000 0.5000 [1 per cell]

***

No. 11
Entry from the Alexandria database: CsHfTiSn2 after structural relaxation (PBEsol).

Calculated values
**Formation energy from the elements**: 1126 meV/atom
**V**: 34.39 Å³ per atom

Cell: 5.4806 5.4806 5.7253 Å, 90.00 90.00 90.00°
Space group P4/mmm (No. 123)
Asymmetric unit:
Cs1 0.0000 0.0000 0.0000 [1 per cell]
Hf1 0.0000 0.0000 0.5000 [1 per cell]
Ti1 0.5000 0.5000 0.0000 [1 per cell]
Sn1 0.0000 0.5000 0.5000 [2 per cell]

***

No. 12
Entry from the Alexandria database: KFePt2 after structural relaxation (PBEsol).

Calculated values
**E above lowest polymorph**: 0.373 eV/atom
**Formation energy from the elements**: 632 meV/atom
**V**: 16.58 Å³ per atom

Cell: 2.7344 4.9129 4.9367 Å, 90.00 90.00 90.00°
Space group Pmmm (No. 47)
Asymmetric unit:
K1 0.0000 0.0000 0.0000 [1 per cell]
Fe1 0.5000 0.5000 0.0000 [1 per cell]
Pt1 0.0000 0.5000 0.5000 [1 per cell]
Pt2 0.5000 0.0000 0.5000 [1 per cell]